Material: LuTiAlHg
Method: DFT, GGA-PBE
State: relaxed

a = 4.8674 Å, b = 4.8674 Å, c = 4.8674 Å
α = 60.00°, β = 60.00°, γ = 60.00°
Last column: nearest neighbours and their distance in Å.
Atoms (fractional coordinates):
Ti (0.2500, 0.2500, 0.2500)  4 Al 2.98, 4 Hg 2.98
Lu (0.7500, 0.7500, 0.7500)  4 Al 2.98, 4 Hg 2.98
Al (0.5000, 0.5000, 0.5000)  4 Lu 2.98, 4 Ti 2.98
Hg (0.0000, 0.0000, 0.0000)  4 Ti 2.98, 4 Lu 2.98

Density of states at the Fermi level (states/eV/cell): 3.1
ΔH_f (0 K) (eV per atom): -0.163

Material: TmLuAlHg
Method: DFT, GGA-PBE
State: relaxed

a = 5.1181 Å, b = 5.1181 Å, c = 5.1181 Å
α = 60.00°, β = 60.00°, γ = 60.00°
Last column: nearest neighbours and their distance in Å.
Atoms (fractional coordinates):
Hg (0.7500, 0.7500, 0.7500)  4 Tm 3.13, 4 Lu 3.13
Tm (0.5000, 0.5000, 0.5000)  4 Hg 3.13, 4 Al 3.13
Al (0.2500, 0.2500, 0.2500)  4 Tm 3.13, 4 Lu 3.13
Lu (0.0000, 0.0000, 0.0000)  4 Hg 3.13, 4 Al 3.13

Density of states at the Fermi level (states/eV/cell): 3.6
ΔH_f (0 K) (eV per atom): -0.383

Material: MgAl2Hg
Method: DFT, GGA-PBE
State: relaxed

a = 4.1356 Å, b = 4.1356 Å, c = 4.5164 Å
α = 90.00°, β = 90.00°, γ = 90.00°
Last column: nearest neighbours and their distance in Å.
Atoms (fractional coordinates):
Al (0.0000, 0.0000, 0.0000)  4 Al 2.92, 4 Hg 3.06, 4 Mg 3.06
Al (0.5000, 0.5000, 0.0000)  4 Al 2.92, 4 Hg 3.06, 4 Mg 3.06
Hg (0.5000, 0.0000, 0.5000)  4 Mg 2.92, 8 Al 3.06
Mg (0.0000, 0.5000, 0.5000)  4 Hg 2.92, 8 Al 3.06

Density of states at the Fermi level (states/eV/cell): 2.4
Energy above the lowest structure with this stoichiometry (eV/atom): 0.026
ΔH_f (0 K) (eV per atom): 0.041

Material: MgAl2Hg
Method: DFT, GGA-PBE
State: relaxed

a = 3.0426 Å, b = 3.0426 Å, c = 9.3123 Å
α = 90.00°, β = 90.00°, γ = 108.88°
Last column: nearest neighbours and their distance in Å.
Atoms (fractional coordinates):
Al (0.0000, 0.0000, 0.5010)  2 Mg 2.92, 2 Hg 2.93, 4 Al 3.04
Al (0.0000, 0.0000, 0.9990)  2 Mg 2.92, 2 Hg 2.93, 4 Al 3.04
Hg (0.5000, 0.5000, 0.2500)  4 Al 2.93, 4 Hg 3.04
Mg (0.5000, 0.5000, 0.7500)  4 Al 2.92, 4 Mg 3.04

Density of states at the Fermi level (states/eV/cell): 2.3
Energy above the lowest structure with this stoichiometry (eV/atom): 0.147
ΔH_f (0 K) (eV per atom): 0.161